1.
An optimized crystal structure of ReAsRh, computed with GGA-PBE.

POSCAR file:
```
ReAsRh
1.0
0.000 2.968 2.968
2.968 0.000 2.968
2.968 2.968 0.000
Re As Rh
1 1 1
Cartesian
0.000 0.000 0.000
4.451 4.451 4.451
1.484 1.484 1.484
```

The value obtained for the calculated total energy is -23.797 eV per formula unit. The value obtained for the excess energy over the best structure of this formula in the dataset is 157 meV per atom. As for the formation energy: 5.02 kcal/mol of atoms. As for the volume: 17.42 Å³ per atom. As for the space-group type: F-43m.


2.
An optimized crystal structure of BaNi2Ir, computed with GGA-PBE.

POSCAR file:
```
BaNi2Ir
1.0
0.000 3.321 3.321
3.321 0.000 3.321
3.321 3.321 0.000
Ba Ni Ir
1 2 1
Cartesian
0.000 0.000 0.000
3.321 3.321 3.321
4.982 4.982 4.982
1.661 1.661 1.661
```

The value obtained for the calculated total energy is -19.029 eV per formula unit. The value obtained for the excess energy over the best structure of this formula in the dataset is 939 meV per atom. As for the formation energy: 19.12 kcal/mol of atoms. As for the volume: 18.32 Å³ per atom. As for the space-group type: F-43m.


3.
An optimized crystal structure of Dy6PbSe4, computed with GGA-PBE.

POSCAR file:
```
Dy6PbSe4
1.0
2.078 -6.631 0.000
2.078 6.631 0.000
0.000 0.000 20.721
Dy Pb Se
12 2 8
Cartesian
0.000 0.000 0.000
0.000 0.000 10.360
2.078 4.540 15.541
2.078 3.050 1.844
2.078 3.050 8.517
2.078 0.614 13.751
2.078 0.614 17.330
2.078 -0.614 3.391
2.078 -0.614 6.970
2.078 -3.050 12.204
2.078 -3.050 18.877
2.078 -4.540 5.180
2.078 4.401 5.180
2.078 -4.401 15.541
2.078 5.433 12.906
2.078 5.433 18.176
2.078 1.844 11.156
2.078 1.844 19.925
2.078 -1.844 0.796
2.078 -1.844 9.564
2.078 -5.433 2.545
2.078 -5.433 7.815
```

The value obtained for the calculated total energy is -60.499 eV per formula unit. The formation energy from raw total energies comes out at -1.385 eV/atom. As for the volume: 25.95 Å³ per atom. As for the space-group type: Cmcm.


4.
An optimized crystal structure of ErZn3Ga2, computed with GGA-PBE.

POSCAR file:
```
ErZn3Ga2
1.0
7.647 -2.165 0.000
7.647 2.165 0.000
-3.731 0.000 6.572
Er Zn Ga
2 6 4
Cartesian
1.539 0.000 0.872
10.024 0.000 5.700
-1.258 0.000 2.222
12.821 0.000 4.350
4.521 0.000 0.763
2.967 0.000 3.496
8.596 0.000 3.076
7.041 0.000 5.809
0.294 0.000 4.513
7.037 0.000 1.077
4.526 0.000 5.495
11.269 0.000 2.058
```

The value obtained for the calculated total energy is -16.213 eV per formula unit. As for the formation energy: -6.82 kcal/mol of atoms. As for the volume: 18.13 Å³ per atom. As for the space-group type: C2/m.


5.
An optimized crystal structure of Te2PPd2, computed with GGA-PBE.

POSCAR file:
```
Te2PPd2
1.0
-1.902 1.902 7.381
1.902 -1.902 7.381
1.902 1.902 -7.381
Te P Pd
2 1 2
Cartesian
0.000 0.000 1.691
0.000 0.000 13.071
0.000 0.000 7.381
1.902 0.000 3.690
0.000 1.902 3.690
```

The value obtained for the calculated total energy is -21.179 eV per formula unit. The formation energy from raw total energies comes out at 0.180 eV/atom. The value obtained for the excess energy over the best structure of this formula in the dataset is 0 meV per atom. As for the volume: 21.37 Å³ per atom. As for the space-group type: I4/mmm.


6.
An optimized crystal structure of YGa4PtRh2, computed with GGA-PBE.

POSCAR file:
```
YGa4PtRh2
1.0
2.131 1.230 8.637
-2.131 1.230 8.637
0.000 -2.461 8.637
Y Ga Pt Rh
1 4 1 2
Cartesian
0.000 0.000 0.000
0.000 0.000 3.330
0.000 0.000 10.295
0.000 0.000 15.617
0.000 0.000 22.582
0.000 0.000 12.956
0.000 0.000 6.067
0.000 0.000 19.845
```

The value obtained for the calculated total energy is -44.603 eV per formula unit. As for the formation energy: -15.24 kcal/mol of atoms. As for the volume: 16.99 Å³ per atom. As for the space-group type: R-3m.


7.
An optimized crystal structure of Cu2Pt, computed with GGA-PBE.

POSCAR file:
```
Cu2Pt
1.0
3.732 -3.780 0.000
3.732 3.780 0.000
-1.896 0.000 5.672
Cu Pt
8 4
Cartesian
-0.037 0.000 1.900
1.870 1.896 1.902
1.876 0.000 0.007
3.698 1.896 3.770
1.870 -1.896 1.902
3.693 0.000 5.665
3.698 -1.896 3.770
5.606 0.000 3.771
3.732 1.965 0.000
1.797 0.000 3.748
3.771 0.000 1.924
3.732 -1.965 0.000
```

The value obtained for the calculated total energy is -14.624 eV per formula unit. The value obtained for the excess energy over the best structure of this formula in the dataset is 15 meV per atom. As for the formation energy: -3.01 kcal/mol of atoms. As for the volume: 13.34 Å³ per atom. As for the space-group type: C2/m.


8.
An optimized crystal structure of TiMnPb, computed with GGA-PBE.

POSCAR file:
```
TiMnPb
1.0
-1.642 1.642 10.948
1.642 -1.642 10.948
1.642 1.642 -10.948
Ti Mn Pb
2 2 2
Cartesian
0.000 0.000 3.615
0.000 0.000 18.281
0.000 0.000 6.160
0.000 0.000 15.736
0.000 0.000 9.362
0.000 0.000 12.533
```

The value obtained for the calculated total energy is -20.493 eV per formula unit. As for the formation energy: 2.15 kcal/mol of atoms. As for the volume: 19.68 Å³ per atom. As for the space-group type: I4/mmm.


9.
An optimized crystal structure of Cs2PAu2, computed with GGA-PBE.

POSCAR file:
```
Cs2PAu2
1.0
7.203 0.000 0.000
0.000 7.203 0.000
0.000 0.000 5.862
Cs P Au
4 2 4
Cartesian
1.242 2.360 0.000
2.360 5.962 0.000
4.843 1.242 0.000
5.962 4.843 0.000
0.000 0.000 2.931
3.602 3.602 2.931
1.255 4.856 2.931
2.347 1.255 2.931
4.856 5.948 2.931
5.948 2.347 2.931
```

The value obtained for the calculated total energy is -13.956 eV per formula unit. The value obtained for the excess energy over the best structure of this formula in the dataset is 117 meV per atom. As for the formation energy: -1.31 kcal/mol of atoms. As for the volume: 30.41 Å³ per atom. As for the space-group type: P4/mbm.


10.
An optimized crystal structure of SnRh3S, computed with GGA-PBE.

POSCAR file:
```
SnRh3S
1.0
4.439 0.000 0.000
0.000 4.439 0.000
0.000 0.000 4.439
Sn Rh S
1 3 1
Cartesian
0.000 0.000 0.000
0.000 2.220 2.220
2.220 0.000 2.220
2.220 2.220 0.000
2.220 2.220 2.220
```

The value obtained for the calculated total energy is -30.002 eV per formula unit. The formation energy from raw total energies comes out at 0.036 eV/atom. The value obtained for the excess energy over the best structure of this formula in the dataset is 347 meV per atom. As for the volume: 17.50 Å³ per atom. As for the space-group type: Pm-3m.


11.
An optimized crystal structure of VSi2W, computed with GGA-PBE.

POSCAR file:
```
VSi2W
1.0
1.747 1.008 5.763
-1.747 1.008 5.763
0.000 -2.017 5.763
V Si W
1 2 1
Cartesian
0.000 0.000 0.000
0.000 0.000 4.381
0.000 0.000 12.907
0.000 0.000 8.644
```

The value obtained for the calculated total energy is -31.909 eV per formula unit. The formation energy from raw total energies comes out at 0.252 eV/atom. The value obtained for the excess energy over the best structure of this formula in the dataset is 273 meV per atom. As for the volume: 15.23 Å³ per atom. As for the space-group type: R-3m.


12.
An optimized crystal structure of Rb2BaTl4, computed with GGA-PBE.

POSCAR file:
```
Rb2BaTl4
1.0
11.558 -3.542 0.000
11.558 3.542 0.000
-0.894 0.000 7.001
Rb Ba Tl
4 2 8
Cartesian
4.379 0.606 1.199
3.932 -0.606 4.700
18.291 0.606 2.302
17.844 -0.606 5.802
10.888 1.834 5.251
11.335 -1.834 1.750
9.793 1.783 1.432
7.702 0.497 3.336
12.876 1.783 2.069
7.255 -0.497 6.837
14.968 0.497 0.164
9.347 -1.783 4.933
14.521 -0.497 3.665
12.430 -1.783 5.570
```

The value obtained for the calculated total energy is -14.167 eV per formula unit. As for the formation energy: -2.78 kcal/mol of atoms. As for the volume: 40.94 Å³ per atom. As for the space-group type: C2/c.


13.
An optimized crystal structure of SrAc2Cd2, computed with GGA-PBE.

POSCAR file:
```
SrAc2Cd2
1.0
4.024 0.000 0.000
0.000 5.915 0.000
-2.022 0.000 15.408
Sr Ac Cd
2 4 4
Cartesian
-0.001 1.479 4.396
2.003 4.437 11.012
0.001 4.437 1.400
-0.007 4.437 7.055
2.009 1.479 8.353
2.001 1.479 14.008
-0.006 1.479 11.152
-0.009 4.437 13.905
2.011 1.479 1.503
2.007 4.437 4.256
```

The value obtained for the calculated total energy is -12.854 eV per formula unit. The value obtained for the excess energy over the best structure of this formula in the dataset is 0 meV per atom. As for the formation energy: -5.19 kcal/mol of atoms. As for the volume: 36.67 Å³ per atom. As for the space-group type: P2_1/m.


14.
An optimized crystal structure of TlVP2Cl, computed with GGA-PBE.

POSCAR file:
```
TlVP2Cl
1.0
5.060 0.000 0.000
0.000 5.060 0.000
0.000 0.000 5.341
Tl V P Cl
1 1 2 1
Cartesian
0.000 0.000 0.000
2.530 2.530 2.671
0.000 2.530 0.000
2.530 0.000 0.000
0.000 0.000 2.671
```

The value obtained for the calculated total energy is -18.152 eV per formula unit. The formation energy from raw total energies comes out at 1.200 eV/atom. The value obtained for the excess energy over the best structure of this formula in the dataset is 1335 meV per atom. As for the volume: 27.35 Å³ per atom. As for the space-group type: P4/mmm.


15.
An optimized crystal structure of La2MnCuN, computed with GGA-PBE.

POSCAR file:
```
La2MnCuN
1.0
5.221 0.000 0.000
0.000 5.221 0.000
0.000 0.000 3.646
La Mn Cu N
2 1 1 1
Cartesian
0.000 2.610 0.000
2.610 0.000 0.000
0.000 0.000 1.823
2.610 2.610 1.823
0.000 0.000 0.000
```

The value obtained for the calculated total energy is -34.052 eV per formula unit. The formation energy from raw total energies comes out at -0.521 eV/atom. As for the volume: 19.88 Å³ per atom. As for the space-group type: P4/mmm.


16.
An optimized crystal structure of Tb2Ho3Tm6Mg, computed with GGA-PBE.

POSCAR file:
```
Tb2Ho3Tm6Mg
1.0
3.020 -5.233 0.000
3.020 5.233 0.000
-2.025 0.000 11.401
Tb Ho Tm Mg
2 3 6 1
Cartesian
3.020 3.492 0.000
3.020 -3.492 0.000
-1.013 0.000 5.700
2.007 1.735 5.700
2.007 -1.735 5.700
-0.005 1.741 8.558
1.003 0.000 2.852
-0.005 -1.741 8.558
4.020 1.741 2.843
3.012 0.000 8.548
4.020 -1.741 2.843
3.020 0.000 0.000
```

The value obtained for the calculated total energy is -51.036 eV per formula unit. As for the formation energy: 0.73 kcal/mol of atoms. As for the volume: 30.03 Å³ per atom. As for the space-group type: C2/m.


17.
An optimized crystal structure of Ca2Mg2Cu, computed with GGA-PBE.

POSCAR file:
```
Ca2Mg2Cu
1.0
4.553 -2.636 0.000
4.553 2.636 0.000
-3.055 0.000 5.427
Ca Mg Cu
2 2 1
Cartesian
-0.007 0.000 1.826
6.058 0.000 3.601
3.033 0.000 0.040
3.019 0.000 5.387
3.026 0.000 2.714
```

The value obtained for the calculated total energy is -11.564 eV per formula unit. The value obtained for the excess energy over the best structure of this formula in the dataset is 30 meV per atom. As for the formation energy: -1.27 kcal/mol of atoms. As for the volume: 26.05 Å³ per atom. As for the space-group type: C2/m.


18.
An optimized crystal structure of TmScAgHg, computed with GGA-PBE.

POSCAR file:
```
TmScAgHg
1.0
0.000 3.558 3.558
3.558 0.000 3.558
3.558 3.558 0.000
Tm Sc Ag Hg
1 1 1 1
Cartesian
0.000 0.000 0.000
3.558 3.558 3.558
5.336 5.336 5.336
1.779 1.779 1.779
```

The value obtained for the calculated total energy is -15.455 eV per formula unit. As for the formation energy: -8.64 kcal/mol of atoms. As for the volume: 22.51 Å³ per atom. As for the space-group type: F-43m.


19.
An optimized crystal structure of CaTaTe2, computed with GGA-PBE.

POSCAR file:
```
CaTaTe2
1.0
-3.289 3.289 6.918
3.289 -3.289 6.918
3.289 3.289 -6.918
Ca Ta Te
2 2 4
Cartesian
0.000 0.000 0.000
0.000 3.289 3.459
3.289 0.000 3.459
0.000 0.000 6.918
1.645 -1.349 5.189
1.940 1.645 1.730
1.645 4.638 -1.730
1.349 1.645 8.648
```

The value obtained for the calculated total energy is -20.663 eV per formula unit. The formation energy from raw total energies comes out at -0.131 eV/atom. The value obtained for the excess energy over the best structure of this formula in the dataset is 343 meV per atom. As for the volume: 37.42 Å³ per atom. As for the space-group type: I-42d.


20.
An optimized crystal structure of LiTl2Cl, computed with GGA-PBE.

POSCAR file:
```
LiTl2Cl
1.0
3.314 0.000 0.000
0.000 3.416 0.000
-1.569 0.000 10.351
Li Tl Cl
1 2 1
Cartesian
0.000 0.000 0.000
0.150 1.708 6.588
1.803 0.000 3.877
1.657 1.708 0.015
```

The value obtained for the calculated total energy is -11.446 eV per formula unit. The formation energy from raw total energies comes out at -0.738 eV/atom. The value obtained for the excess energy over the best structure of this formula in the dataset is 4 meV per atom. As for the volume: 29.30 Å³ per atom. As for the space-group type: Pm.


21.
An optimized crystal structure of NaZrSbO6, computed with GGA-PBE.

POSCAR file:
```
NaZrSbO6
1.0
5.476 0.000 0.000
-2.738 4.742 0.000
0.000 0.000 4.628
Na Zr Sb O
1 1 1 6
Cartesian
0.000 0.000 0.000
2.738 1.581 2.314
0.000 3.162 0.000
-1.013 1.837 1.101
-1.654 2.946 3.527
1.013 1.837 3.527
-0.640 4.701 1.101
1.654 2.946 1.101
0.640 4.701 3.527
```

The value obtained for the calculated total energy is -58.987 eV per formula unit. The formation energy from raw total energies comes out at -1.694 eV/atom. As for the volume: 13.35 Å³ per atom. As for the space-group type: P312.


22.
An optimized crystal structure of KCa2GaH, computed with GGA-PBE.

POSCAR file:
```
KCa2GaH
1.0
6.154 0.000 0.000
0.000 6.154 0.000
0.000 0.000 4.078
K Ca Ga H
1 2 1 1
Cartesian
0.000 0.000 0.000
0.000 3.077 0.000
3.077 0.000 0.000
3.077 3.077 2.039
0.000 0.000 2.039
```

The value obtained for the calculated total energy is -8.471 eV per formula unit. As for the volume: 30.89 Å³ per atom. As for the space-group type: P4/mmm.


23.
An optimized crystal structure of CaEr2Pd9, computed with GGA-PBE.

POSCAR file:
```
CaEr2Pd9
1.0
4.118 0.000 0.000
0.000 4.118 0.000
0.000 0.000 12.304
Ca Er Pd
1 2 9
Cartesian
0.000 0.000 0.000
0.000 0.000 4.108
0.000 0.000 8.196
0.000 2.059 2.100
0.000 2.059 6.152
0.000 2.059 10.203
2.059 0.000 2.100
2.059 0.000 6.152
2.059 0.000 10.203
2.059 2.059 0.000
2.059 2.059 4.119
2.059 2.059 8.185
```

The value obtained for the calculated total energy is -67.045 eV per formula unit. As for the formation energy: -17.65 kcal/mol of atoms. As for the volume: 17.39 Å³ per atom. As for the space-group type: P4/mmm.


24.
An optimized crystal structure of Sr2Sn4Ru, computed with GGA-PBE.

POSCAR file:
```
Sr2Sn4Ru
1.0
-2.538 2.538 8.698
2.538 -2.538 8.698
2.538 2.538 -8.698
Sr Sn Ru
2 4 1
Cartesian
0.000 0.000 2.678
0.000 0.000 14.718
2.538 0.000 0.000
0.000 0.000 5.992
0.000 2.538 0.000
0.000 0.000 11.404
0.000 0.000 8.698
```

The value obtained for the calculated total energy is -29.920 eV per formula unit. As for the formation energy: -4.18 kcal/mol of atoms. As for the volume: 32.01 Å³ per atom. As for the space-group type: I4/mmm.